[1]
# K2Rb3AgSb2, optimized geometry, DFT GGA-PBE
data_K2Rb3AgSb2
_chemical_formula_sum 'K6 Rb9 Ag3 Sb6'
_symmetry_space_group_name_H-M 'R -3 m'
_symmetry_Int_Tables_number 166
_symmetry_space_group_name_Hall '-R 3 2"'
_cell_length_a 6.1401
_cell_length_b 6.1401
_cell_length_c 29.5271
_cell_angle_alpha 90.00
_cell_angle_beta 90.00
_cell_angle_gamma 120.00
loop_
_atom_site_label
_atom_site_type_symbol
_atom_site_fract_x
_atom_site_fract_y
_atom_site_fract_z
_atom_site_occupancy
K1 K 0.0000 0.0000 0.2166 1
Rb1 Rb 0.0000 0.0000 0.3676 1
Rb2 Rb 0.0000 0.0000 0.5000 1
Ag1 Ag 0.0000 0.0000 0.0000 1
Sb1 Sb 0.0000 0.0000 0.0920 1
# uncorrected energy = -2.423 eV/atom



[2]
# TaAl28, optimized geometry, DFT GGA-PBE
data_TaAl28
_chemical_formula_sum 'Ta2 Al56'
_symmetry_space_group_name_H-M 'I -4 3 m'
_symmetry_Int_Tables_number 217
_symmetry_space_group_name_Hall 'I -4 2 3'
_cell_length_a 9.9038
_cell_length_b 9.9038
_cell_length_c 9.9038
_cell_angle_alpha 90.00
_cell_angle_beta 90.00
_cell_angle_gamma 90.00
loop_
_atom_site_label
_atom_site_type_symbol
_atom_site_fract_x
_atom_site_fract_y
_atom_site_fract_z
_atom_site_occupancy
Ta1 Ta 0.0000 0.0000 0.0000 1
Al1 Al 0.0512 0.3609 0.6391 1
Al2 Al 0.0930 0.0930 0.7165 1
Al3 Al 0.1686 0.1686 0.1686 1
# uncorrected energy = -3.986 eV/atom
# total magnetic moment = 0.00 Bohr magnetons per cell



[3]
# SrDyAgO3, optimized geometry, DFT GGA-PBE
data_SrDyAgO3
_chemical_formula_sum 'Sr4 Dy4 Ag4 O12'
_symmetry_space_group_name_H-M 'C m c m'
_symmetry_Int_Tables_number 63
_symmetry_space_group_name_Hall '-C 2c 2'
_cell_length_a 3.6179
_cell_length_b 12.7144
_cell_length_c 8.7322
_cell_angle_alpha 90.00
_cell_angle_beta 90.00
_cell_angle_gamma 90.00
loop_
_atom_site_label
_atom_site_type_symbol
_atom_site_fract_x
_atom_site_fract_y
_atom_site_fract_z
_atom_site_occupancy
Sr1 Sr 0.0000 0.1781 0.2500 1
Dy1 Dy 0.0000 0.5000 0.0000 1
Ag1 Ag 0.0000 0.1165 0.7500 1
O1 O 0.0000 0.1149 0.5151 1
O2 O 0.0000 0.4459 0.7500 1
# uncorrected energy = -6.299 eV/atom
# total magnetic moment = 0.01 Bohr magnetons per cell



[4]
# RbPuBe, optimized geometry, DFT GGA-PBE
data_RbPuBe
_chemical_formula_sum 'Rb4 Pu4 Be4'
_symmetry_space_group_name_H-M 'F -4 3 m'
_symmetry_Int_Tables_number 216
_symmetry_space_group_name_Hall 'F -4 2 3'
_cell_length_a 7.6901
_cell_length_b 7.6901
_cell_length_c 7.6901
_cell_angle_alpha 90.00
_cell_angle_beta 90.00
_cell_angle_gamma 90.00
loop_
_atom_site_label
_atom_site_type_symbol
_atom_site_fract_x
_atom_site_fract_y
_atom_site_fract_z
_atom_site_occupancy
Rb1 Rb 0.0000 0.0000 0.0000 1
Pu1 Pu 0.2500 0.2500 0.2500 1
Be1 Be 0.2500 0.2500 0.7500 1
# uncorrected energy = -4.611 eV/atom
# total magnetic moment = 28.53 Bohr magnetons per cell



[5]
# AlCuAgPt, optimized geometry, DFT GGA-PBE
data_AlCuAgPt
_chemical_formula_sum 'Al4 Cu4 Ag4 Pt4'
_symmetry_space_group_name_H-M 'F -4 3 m'
_symmetry_Int_Tables_number 216
_symmetry_space_group_name_Hall 'F -4 2 3'
_cell_length_a 6.2190
_cell_length_b 6.2190
_cell_length_c 6.2190
_cell_angle_alpha 90.00
_cell_angle_beta 90.00
_cell_angle_gamma 90.00
loop_
_atom_site_label
_atom_site_type_symbol
_atom_site_fract_x
_atom_site_fract_y
_atom_site_fract_z
_atom_site_occupancy
Al1 Al 0.0000 0.0000 0.0000 1
Cu1 Cu 0.2500 0.2500 0.2500 1
Ag1 Ag 0.0000 0.0000 0.5000 1
Pt1 Pt 0.2500 0.2500 0.7500 1
# uncorrected energy = -4.387 eV/atom
# total magnetic moment = 0.01 Bohr magnetons per cell



[6]
# Hf2AlZnCu4, optimized geometry, DFT GGA-PBE
data_Hf2AlZnCu4
_chemical_formula_sum 'Hf2 Al1 Zn1 Cu4'
_symmetry_space_group_name_H-M 'P -3 m 1'
_symmetry_Int_Tables_number 164
_symmetry_space_group_name_Hall '-P 3 2"'
_cell_length_a 4.1834
_cell_length_b 4.1834
_cell_length_c 7.9100
_cell_angle_alpha 90.00
_cell_angle_beta 90.00
_cell_angle_gamma 120.00
loop_
_atom_site_label
_atom_site_type_symbol
_atom_site_fract_x
_atom_site_fract_y
_atom_site_fract_z
_atom_site_occupancy
Hf1 Hf 0.3333 0.6667 0.2527 1
Al1 Al 0.0000 0.0000 0.0000 1
Zn1 Zn 0.0000 0.0000 0.5000 1
Cu1 Cu 0.3333 0.6667 0.5878 1
Cu2 Cu 0.3333 0.6667 0.9113 1
# uncorrected energy = -5.225 eV/atom
# total magnetic moment = 0.02 Bohr magnetons per cell



[7]
# FeCl3, optimized geometry, DFT GGA-PBE
data_FeCl3
_chemical_formula_sum 'Fe6 Cl18'
_symmetry_space_group_name_H-M 'R -3 c'
_symmetry_Int_Tables_number 167
_symmetry_space_group_name_Hall '-R 3 2"c'
_cell_length_a 6.0205
_cell_length_b 6.0205
_cell_length_c 16.3169
_cell_angle_alpha 90.00
_cell_angle_beta 90.00
_cell_angle_gamma 120.00
loop_
_atom_site_label
_atom_site_type_symbol
_atom_site_fract_x
_atom_site_fract_y
_atom_site_fract_z
_atom_site_occupancy
Fe1 Fe 0.0000 0.0000 0.0000 1
Cl1 Cl 0.0000 0.3449 0.2500 1
# uncorrected energy = -4.041 eV/atom
# total magnetic moment = 29.19 Bohr magnetons per cell



[8]
# Cs3SmI6, optimized geometry, DFT GGA-PBE
data_Cs3SmI6
_chemical_formula_sum 'Cs6 Sm2 I12'
_symmetry_space_group_name_H-M 'P 1 21/c 1'
_symmetry_Int_Tables_number 14
_cell_length_a 9.0583
_cell_length_b 9.6809
_cell_length_c 15.5067
_cell_angle_alpha 90.00
_cell_angle_beta 123.93
_cell_angle_gamma 90.00
loop_
_symmetry_equiv_pos_as_xyz
'x,y,z'
'-x,-y,-z'
'-x,y+1/2,-z+1/2'
'x,-y+1/2,z+1/2'
loop_
_atom_site_label
_atom_site_type_symbol
_atom_site_fract_x
_atom_site_fract_y
_atom_site_fract_z
_atom_site_occupancy
Cs1 Cs 0.0000 0.0000 0.0000 1
Cs2 Cs 0.2103 0.0781 0.7425 1
Sm1 Sm 0.5000 0.0000 0.5000 1
I1 I 0.1725 0.1738 0.4487 1
I2 I 0.2664 0.7335 0.4266 1
I3 I 0.4039 0.0513 0.2770 1
# uncorrected energy = -3.180 eV/atom
# total magnetic moment = 0.00 Bohr magnetons per cell



[9]
# ZnFeCuHg, optimized geometry, DFT GGA-PBE
data_ZnFeCuHg
_chemical_formula_sum 'Zn4 Fe4 Cu4 Hg4'
_symmetry_space_group_name_H-M 'F -4 3 m'
_symmetry_Int_Tables_number 216
_symmetry_space_group_name_Hall 'F -4 2 3'
_cell_length_a 6.1973
_cell_length_b 6.1973
_cell_length_c 6.1973
_cell_angle_alpha 90.00
_cell_angle_beta 90.00
_cell_angle_gamma 90.00
loop_
_atom_site_label
_atom_site_type_symbol
_atom_site_fract_x
_atom_site_fract_y
_atom_site_fract_z
_atom_site_occupancy
Zn1 Zn 0.0000 0.0000 0.0000 1
Fe1 Fe 0.2500 0.2500 0.7500 1
Cu1 Cu 0.2500 0.2500 0.2500 1
Hg1 Hg 0.0000 0.0000 0.5000 1
# uncorrected energy = -3.124 eV/atom
# total magnetic moment = 10.34 Bohr magnetons per cell
# DFT formation energy = 0.273 eV/atom



[10]
# In2ReWN6, optimized geometry, DFT GGA-PBE
data_In2ReWN6
_chemical_formula_sum 'In4 Re2 W2 N12'
_symmetry_space_group_name_H-M 'P -3 1 c'
_symmetry_Int_Tables_number 163
_symmetry_space_group_name_Hall '-P 3 2c'
_cell_length_a 5.2945
_cell_length_b 5.2945
_cell_length_c 10.1351
_cell_angle_alpha 90.00
_cell_angle_beta 90.00
_cell_angle_gamma 120.00
loop_
_atom_site_label
_atom_site_type_symbol
_atom_site_fract_x
_atom_site_fract_y
_atom_site_fract_z
_atom_site_occupancy
In1 In 0.3333 0.6667 0.0473 1
Re1 Re 0.3333 0.6667 0.7500 1
W1 W 0.0000 0.0000 0.2500 1
N1 N 0.0420 0.3381 0.8633 1
# uncorrected energy = -7.818 eV/atom
# total magnetic moment = 0.01 Bohr magnetons per cell



[11]
# GdDyGe2, optimized geometry, DFT GGA-PBE
data_GdDyGe2
_chemical_formula_sum 'Gd2 Dy2 Ge4'
_symmetry_space_group_name_H-M 'P m c 21'
_symmetry_Int_Tables_number 26
_cell_length_a 3.9525
_cell_length_b 5.8084
_cell_length_c 8.0233
_cell_angle_alpha 90.00
_cell_angle_beta 90.00
_cell_angle_gamma 90.00
loop_
_symmetry_equiv_pos_as_xyz
'x,y,z'
'-x,-y,z+1/2'
'-x,y,z'
'x,-y,z+1/2'
loop_
_atom_site_label
_atom_site_type_symbol
_atom_site_fract_x
_atom_site_fract_y
_atom_site_fract_z
_atom_site_occupancy
Gd1 Gd 0.0000 0.1319 0.0000 1
Dy1 Dy 0.5000 0.3684 0.3608 1
Ge1 Ge 0.0000 0.3936 0.6385 1
Ge2 Ge 0.5000 0.1067 0.7220 1
# uncorrected energy = -5.499 eV/atom
# total magnetic moment = 0.01 Bohr magnetons per cell



[12]
# TmThZn, optimized geometry, DFT GGA-PBE
data_TmThZn
_chemical_formula_sum 'Tm4 Th4 Zn4'
_symmetry_space_group_name_H-M 'F -4 3 m'
_symmetry_Int_Tables_number 216
_symmetry_space_group_name_Hall 'F -4 2 3'
_cell_length_a 7.0029
_cell_length_b 7.0029
_cell_length_c 7.0029
_cell_angle_alpha 90.00
_cell_angle_beta 90.00
_cell_angle_gamma 90.00
loop_
_atom_site_label
_atom_site_type_symbol
_atom_site_fract_x
_atom_site_fract_y
_atom_site_fract_z
_atom_site_occupancy
Tm1 Tm 0.0000 0.0000 0.0000 1
Th1 Th 0.0000 0.0000 0.5000 1
Zn1 Zn 0.2500 0.2500 0.7500 1
# uncorrected energy = -4.256 eV/atom
# total magnetic moment = 2.64 Bohr magnetons per cell
# DFT formation energy = 0.128 eV/atom



[13]
# PrBiNO, optimized geometry, DFT GGA-PBE
data_PrBiNO
_chemical_formula_sum 'Pr4 Bi4 N4 O4'
_symmetry_space_group_name_H-M 'P c a 21'
_symmetry_Int_Tables_number 29
_cell_length_a 5.8458
_cell_length_b 8.6184
_cell_length_c 6.0794
_cell_angle_alpha 90.00
_cell_angle_beta 90.00
_cell_angle_gamma 90.00
loop_
_symmetry_equiv_pos_as_xyz
'x,y,z'
'-x,-y,z+1/2'
'-x+1/2,y,z+1/2'
'x+1/2,-y,z'
loop_
_atom_site_label
_atom_site_type_symbol
_atom_site_fract_x
_atom_site_fract_y
_atom_site_fract_z
_atom_site_occupancy
Pr1 Pr 0.0037 0.1298 0.0000 1
Bi1 Bi 0.0189 0.3740 0.5014 1
N1 N 0.1397 0.6069 0.5416 1
O1 O 0.2483 0.9917 0.2511 1
# uncorrected energy = -6.729 eV/atom
# total magnetic moment = 0.00 Bohr magnetons per cell



[14]
# Cs2CuBiF6, optimized geometry, DFT GGA-PBE
data_Cs2CuBiF6
_chemical_formula_sum 'Cs4 Cu2 Bi2 F12'
_symmetry_space_group_name_H-M 'P -1'
_symmetry_Int_Tables_number 2
_cell_length_a 6.2277
_cell_length_b 6.2305
_cell_length_c 8.8199
_cell_angle_alpha 90.01
_cell_angle_beta 90.00
_cell_angle_gamma 90.02
loop_
_symmetry_equiv_pos_as_xyz
'x,y,z'
'-x,-y,-z'
loop_
_atom_site_label
_atom_site_type_symbol
_atom_site_fract_x
_atom_site_fract_y
_atom_site_fract_z
_atom_site_occupancy
Cs1 Cs 0.0001 0.0000 0.2501 1
Cs2 Cs 0.5001 0.5004 0.2500 1
Cu1 Cu 0.0000 0.5000 0.0000 1
Cu2 Cu 0.5000 0.0000 0.5000 1
Bi1 Bi 0.0000 0.5000 0.5000 1
Bi2 Bi 0.5000 0.0000 0.0000 1
F1 F 0.0010 0.5001 0.2427 1
F2 F 0.2381 0.7459 0.9993 1
F3 F 0.2461 0.2609 0.9998 1
F4 F 0.2556 0.2404 0.5003 1
F5 F 0.2599 0.7554 0.5006 1
F6 F 0.4993 0.0001 0.2573 1
# uncorrected energy = -4.291 eV/atom



[15]
# Rb2NiGeBr6, optimized geometry, DFT GGA-PBE
data_Rb2NiGeBr6
_chemical_formula_sum 'Rb8 Ni4 Ge4 Br24'
_symmetry_space_group_name_H-M 'F m -3 m'
_symmetry_Int_Tables_number 225
_symmetry_space_group_name_Hall '-F 4 2 3'
_cell_length_a 10.6778
_cell_length_b 10.6778
_cell_length_c 10.6778
_cell_angle_alpha 90.00
_cell_angle_beta 90.00
_cell_angle_gamma 90.00
loop_
_atom_site_label
_atom_site_type_symbol
_atom_site_fract_x
_atom_site_fract_y
_atom_site_fract_z
_atom_site_occupancy
Rb1 Rb 0.2500 0.2500 0.2500 1
Ni1 Ni 0.0000 0.0000 0.0000 1
Ge1 Ge 0.0000 0.0000 0.5000 1
Br1 Br 0.0000 0.0000 0.2412 1
# uncorrected energy = -3.162 eV/atom
# total magnetic moment = 6.93 Bohr magnetons per cell



[16]
# InWAuSe2S, optimized geometry, DFT GGA-PBE
data_InWAuSe2S
_chemical_formula_sum 'In4 W4 Au4 Se8 S4'
_symmetry_space_group_name_H-M 'C m c m'
_symmetry_Int_Tables_number 63
_symmetry_space_group_name_Hall '-C 2c 2'
_cell_length_a 3.4883
_cell_length_b 15.2385
_cell_length_c 9.7618
_cell_angle_alpha 90.00
_cell_angle_beta 90.00
_cell_angle_gamma 90.00
loop_
_atom_site_label
_atom_site_type_symbol
_atom_site_fract_x
_atom_site_fract_y
_atom_site_fract_z
_atom_site_occupancy
In1 In 0.0000 0.2406 0.2500 1
W1 W 0.0000 0.5000 0.0000 1
Au1 Au 0.0000 0.0580 0.7500 1
Se1 Se 0.0000 0.1279 0.5178 1
S1 S 0.0000 0.4317 0.7500 1
# uncorrected energy = -4.960 eV/atom
# total magnetic moment = 0.22 Bohr magnetons per cell



[17]
# H4PdBr2O2, optimized geometry, DFT GGA-PBE
data_H4PdBr2O2
_chemical_formula_sum 'H8 Pd2 Br4 O4'
_symmetry_space_group_name_H-M 'C 1 2/m 1'
_symmetry_Int_Tables_number 12
_cell_length_a 7.5895
_cell_length_b 8.5182
_cell_length_c 3.8351
_cell_angle_alpha 90.00
_cell_angle_beta 91.29
_cell_angle_gamma 90.00
loop_
_symmetry_equiv_pos_as_xyz
'x,y,z'
'-x,-y,-z'
'-x,y,-z'
'x,-y,z'
'x+1/2,y+1/2,z'
'-x+1/2,-y+1/2,-z'
'-x+1/2,y+1/2,-z'
'x+1/2,-y+1/2,z'
loop_
_atom_site_label
_atom_site_type_symbol
_atom_site_fract_x
_atom_site_fract_y
_atom_site_fract_z
_atom_site_occupancy
H1 H 0.0835 0.1942 0.1374 1
Pd1 Pd 0.0000 0.5000 0.0000 1
Br1 Br 0.2341 0.0000 0.3674 1
O1 O 0.0000 0.2610 0.0000 1
# uncorrected energy = -4.217 eV/atom



[18]
# TmGeB4, optimized geometry, DFT GGA-PBE
data_TmGeB4
_chemical_formula_sum 'Tm1 Ge1 B4'
_symmetry_space_group_name_H-M 'P 6/m m m'
_symmetry_Int_Tables_number 191
_symmetry_space_group_name_Hall '-P 6 2'
_cell_length_a 3.1641
_cell_length_b 3.1641
_cell_length_c 7.6655
_cell_angle_alpha 90.00
_cell_angle_beta 90.00
_cell_angle_gamma 120.00
loop_
_atom_site_label
_atom_site_type_symbol
_atom_site_fract_x
_atom_site_fract_y
_atom_site_fract_z
_atom_site_occupancy
Tm1 Tm 0.0000 0.0000 0.0000 1
Ge1 Ge 0.0000 0.0000 0.5000 1
B1 B 0.3333 0.6667 0.2469 1
# uncorrected energy = -5.981 eV/atom
# total magnetic moment = 0.01 Bohr magnetons per cell



[19]
# GdDyPbN, optimized geometry, DFT GGA-PBE
data_GdDyPbN
_chemical_formula_sum 'Gd2 Dy2 Pb2 N2'
_symmetry_space_group_name_H-M 'P -6 m 2'
_symmetry_Int_Tables_number 187
_symmetry_space_group_name_Hall 'P -6 2'
_cell_length_a 3.5646
_cell_length_b 3.5646
_cell_length_c 15.7185
_cell_angle_alpha 90.00
_cell_angle_beta 90.00
_cell_angle_gamma 120.00
loop_
_atom_site_label
_atom_site_type_symbol
_atom_site_fract_x
_atom_site_fract_y
_atom_site_fract_z
_atom_site_occupancy
Gd1 Gd 0.0000 0.0000 0.1665 1
Dy1 Dy 0.6667 0.3333 0.3335 1
Pb1 Pb 0.0000 0.0000 0.5000 1
Pb2 Pb 0.6667 0.3333 0.0000 1
N1 N 0.3333 0.6667 0.2527 1
# uncorrected energy = -6.409 eV/atom
# total magnetic moment = 0.01 Bohr magnetons per cell



[20]
# HgTeO3, optimized geometry, DFT GGA-PBE
data_HgTeO3
_chemical_formula_sum 'Hg4 Te4 O12'
_symmetry_space_group_name_H-M 'P -1'
_symmetry_Int_Tables_number 2
_cell_length_a 6.1238
_cell_length_b 7.3556
_cell_length_c 7.3838
_cell_angle_alpha 92.34
_cell_angle_beta 114.03
_cell_angle_gamma 92.30
loop_
_symmetry_equiv_pos_as_xyz
'x,y,z'
'-x,-y,-z'
loop_
_atom_site_label
_atom_site_type_symbol
_atom_site_fract_x
_atom_site_fract_y
_atom_site_fract_z
_atom_site_occupancy
Hg1 Hg 0.0425 0.2206 0.3490 1
Hg2 Hg 0.4380 0.5601 0.7311 1
Te1 Te 0.0020 0.3360 0.8298 1
Te2 Te 0.4878 0.0263 0.7510 1
O1 O 0.2004 0.5461 0.9774 1
O2 O 0.2082 0.5191 0.3690 1
O3 O 0.2279 0.3081 0.6992 1
O4 O 0.2588 0.9489 0.4894 1
O5 O 0.2765 0.9403 0.8671 1
O6 O 0.3364 0.1960 0.1985 1
# uncorrected energy = -4.394 eV/atom